A plane-wave DFT calculation with GGA+U was carried out for ScCoF3 after structural relaxation.

a = 4.1786 Å, b = 4.1786 Å, c = 4.1786 Å
α = 90.00°, β = 90.00°, γ = 90.00°
With the nearest neighbours (Å) after each atom.
Fractional positions:
Sc 0.0000 0.0000 0.0000  6 F 2.09
Co 0.5000 0.5000 0.5000  12 F 2.95
F 0.0000 0.5000 0.0000  2 Sc 2.09
F 0.0000 0.0000 0.5000  2 Sc 2.09
F 0.5000 0.0000 0.0000  2 Sc 2.09

Values from the calculation:
**ΔE to the lowest computed polymorph**: 0.00 eV/f.u.
**Space-group type**: No. 221
**N(E_F)**: 2.859 states/eV/cell
**E**: -28.623 eV/cell
**Total moment**: 2.28 μB per formula unit